AgBP2O PBE relaxed; offset from the most stable computed form = 8.31 eV per formula unit; E = -16.3 eV/cell
1.0
4.844 0.000 0.000
0.000 4.844 0.000
0.000 0.000 3.893
Ag B P O
1 1 2 1
Cartesian
0.000 0.000 0.000 Ag
2.422 2.422 1.946 B
0.000 2.422 0.000 P
2.422 0.000 0.000 P
0.000 0.000 1.946 O